Below is TbZnIr4 after structural relaxation, with properties calculated at the GGA-PBE level.

For the formation energy, the calculation gives -2.0 eV per formula unit. The calculated density is 15.90 g cm⁻³. The density of states at the Fermi level is 1.327 states/eV per atom. The volume is 414.9 Å³ per cell.

The space group is F-43m (No. 216) and the conventional cell measures 7.458, 7.458 and 7.458 Å, with angles of 90.00, 90.00 and 90.00 degrees. The distinct sites, in fractional coordinates, are Tb at (0.000, 0.000, 0.000), Zn at (0.250, 0.250, 0.250) and Ir at (0.125, 0.125, 0.625).